No. 1
Density functional theory data (PBE) for a relaxed structure of Ta2CoH.

The calculation puts the total DFT energy (no corrections) at -8.4828 eV per atom. The energy relative to the lowest polymorph listed for this composition comes out at 0.0 meV/atom.

The space group is R-3m (No. 166, hexagonal axes) and the conventional cell measures 2.8982, 2.8982 and 20.4754 Å, with angles of 90.00, 90.00 and 120.00 degrees. The asymmetric unit holds Ta at (0.0000, 0.0000, 0.2322), Co at (0.0000, 0.0000, 0.0000) and H at (0.0000, 0.0000, 0.5000).

***

No. 2
Density functional theory data (PBE) for a relaxed structure of K2FeAs.

The calculation puts the total DFT energy (no corrections) at -3.3184 eV per atom. For the formation energy, the calculation gives 49 kJ per mole of atoms.

The space group is Cmmm (No. 65) and the conventional cell measures 5.453, 8.441 and 4.894 Å, with angles of 90.00, 90.00 and 90.00 degrees. The asymmetric unit holds K at (0.250, 0.250, 0.000), Fe at (0.000, 0.000, 0.500) and As at (0.000, 0.500, 0.500).

***

No. 3
Density functional theory data (PBE) for a relaxed structure of Sr4Tl3Ga.

The calculation puts the total DFT energy (no corrections) at -2.5135 eV per atom. For the formation energy, the calculation gives -39 kJ per mole of atoms.

The space group is P4/mmm (No. 123) and the conventional cell measures 4.034, 4.034 and 16.379 Å, with angles of 90.00, 90.00 and 90.00 degrees. The asymmetric unit holds Sr at (0.000, 0.000, 0.115), Sr at (0.000, 0.000, 0.372), Tl at (0.500, 0.500, 0.244), Tl at (0.500, 0.500, 0.500) and Ga at (0.500, 0.500, 0.000).

***

No. 4
Density functional theory data (PBE) for a relaxed structure of LaNbAlOs2.

The calculation puts the total DFT energy (no corrections) at -8.5681 eV per atom. For the formation energy, the calculation gives -32 kJ per mole of atoms.

The space group is I-4m2 (No. 119) and the conventional cell measures 4.232, 4.232 and 11.210 Å, with angles of 90.00, 90.00 and 90.00 degrees. The asymmetric unit holds La at (0.000, 0.000, 0.000), Nb at (0.000, 0.500, 0.750), Al at (0.000, 0.500, 0.250) and Os at (0.000, 0.000, 0.387).

***

No. 5
Density functional theory data (PBE) for a relaxed structure of Tb3Dy3Er2.

The calculation puts the total DFT energy (no corrections) at -4.5089 eV per atom. The energy relative to the lowest polymorph listed for this composition comes out at 74.7 meV/atom. For the formation energy, the calculation gives 9 kJ per mole of atoms.

The space group is C2/m (No. 12) and the conventional cell measures 16.062, 5.669 and 5.957 Å, with angles of 90.00, 111.55 and 90.00 degrees. The asymmetric unit holds Tb at (0.000, 0.000, 0.000), Tb at (0.133, 0.000, 0.691), Dy at (0.000, 0.500, 0.500), Dy at (0.132, 0.500, 0.076) and Er at (0.250, 0.000, 0.317).

***

No. 6
Density functional theory data (PBE) for a relaxed structure of La2Pm3Dy6Y.

The calculation puts the total DFT energy (no corrections) at -4.8329 eV per atom. For the formation energy, the calculation gives 2 kJ per mole of atoms.

The space group is C2/m (No. 12) and the conventional cell measures 6.257, 10.834 and 11.895 Å, with angles of 90.00, 100.06 and 90.00 degrees. The asymmetric unit holds La at (0.000, 0.166, 0.000), Pm at (0.000, 0.000, 0.500), Pm at (0.000, 0.333, 0.500), Dy at (0.248, 0.500, 0.748), Dy at (0.249, 0.166, 0.748) and Y at (0.000, 0.500, 0.000).

***

No. 7
Density functional theory data (PBE) for a relaxed structure of HfFeW2N.

The calculation puts the total DFT energy (no corrections) at -9.5155 eV per atom. The formation energy without anion corrections comes out at 1.01 eV per atom.

The space group is P4/mmm (No. 123) and the conventional cell measures 4.792, 4.792 and 3.437 Å, with angles of 90.00, 90.00 and 90.00 degrees. The asymmetric unit holds Hf at (0.000, 0.000, 0.000), Fe at (0.500, 0.500, 0.500), W at (0.000, 0.500, 0.500) and N at (0.500, 0.500, 0.000).

***

No. 8
Density functional theory data (PBE) for a relaxed structure of Tl2PbCl.

The calculation puts the total DFT energy (no corrections) at -2.8112 eV per atom. The formation energy without anion corrections comes out at -0.24 eV per atom. The energy relative to the lowest polymorph listed for this composition comes out at 115.1 meV/atom.

The space group is I-4m2 (No. 119) and the conventional cell measures 4.637, 4.637 and 11.393 Å, with angles of 90.00, 90.00 and 90.00 degrees. The asymmetric unit holds Tl at (0.000, 0.000, 0.000), Tl at (0.000, 0.500, 0.250), Pb at (0.000, 0.000, 0.500) and Cl at (0.000, 0.500, 0.750).